No. 1
An optimized crystal structure of YTiHg2, computed with GGA-PBE.

```
YTiHg2
1.0
4.172 0.000 0.000
0.000 4.643 0.000
0.000 0.000 4.643
Hg Y Ti
2 1 1
direct
0.000 0.500 0.000
0.000 0.000 0.500
0.500 0.000 0.000
0.500 0.500 0.500
```

Properties
* ΔH_f (0 K): -68 kJ/mol of formula units
* volume: 22.483 Å³/atom
* raw total energy: -3.916 eV per atom

=====

No. 2
An optimized crystal structure of AcPmN2, computed with GGA-PBE.

```
AcPmN2
1.0
-3.620 -0.055 -0.578
1.739 -3.060 1.027
-1.015 1.509 6.209
N Pm Ac
2 1 1
direct
0.667 0.833 0.764
0.333 0.167 0.236
0.000 0.500 0.000
0.000 0.500 0.500
```

Properties
* formation energy (no corrections): -3.7 eV/f.u.
* volume: 18.830 Å³/atom
* raw total energy: -7.300 eV per atom

=====

No. 3
An optimized crystal structure of NaPt2, computed with GGA-PBE.

```
NaPt2
1.0
2.160 -6.177 0.000
2.160 6.177 0.000
0.000 0.000 3.712
Pt Na
4 2
direct
0.082 0.918 0.750
0.244 0.756 0.250
0.918 0.082 0.250
0.756 0.244 0.750
0.418 0.582 0.750
0.582 0.418 0.250
```

Properties
* ΔH_f (0 K): -9 kJ/mol of formula units
* volume: 16.510 Å³/atom
* raw total energy: -4.498 eV per atom

=====

No. 4
An optimized crystal structure of SrScFe2P, computed with GGA-PBE.

```
SrScFe2P
1.0
4.793 0.000 0.000
0.000 5.039 0.000
0.000 0.000 4.793
Sr P Sc Fe
1 1 1 2
direct
0.500 0.500 0.500
0.000 0.500 0.000
0.000 0.000 0.000
0.000 0.000 0.500
0.500 0.000 0.000
```

Properties
* ΔH_f (0 K): 245 kJ/mol of formula units
* volume: 23.149 Å³/atom
* raw total energy: -5.562 eV per atom

=====

No. 5
An optimized crystal structure of KPt2Br8, computed with GGA-PBE.

```
KPt2Br8
1.0
-1.140 5.571 -7.699
-4.358 -2.762 -4.220
-5.288 3.980 0.796
Br Pt K
8 2 1
direct
0.746 0.721 0.130
0.254 0.870 0.279
0.836 0.593 0.593
0.164 0.407 0.407
0.552 0.268 0.268
0.746 0.130 0.721
0.448 0.732 0.732
0.254 0.279 0.870
0.388 0.146 0.146
0.612 0.854 0.854
0.000 0.000 0.000
```

Properties
* formation energy (no corrections): -2.9 eV/f.u.
* volume: 33.907 Å³/atom
* raw total energy: -2.675 eV per atom

=====

No. 6
An optimized crystal structure of Y2BiSbO8, computed with GGA-PBE.

```
Y2BiSbO8
1.0
5.063 -0.119 -0.003
-0.111 5.062 -0.006
0.004 0.008 6.733
O Y Sb Bi
8 2 1 1
direct
0.717 0.718 0.000
0.283 0.282 0.000
0.702 0.704 0.500
0.818 0.183 0.764
0.818 0.183 0.236
0.182 0.817 0.764
0.182 0.817 0.236
0.298 0.296 0.500
0.500 0.500 0.244
0.500 0.500 0.756
0.000 0.000 0.000
0.000 0.000 0.500
```

Properties
* formation energy (no corrections): -25.5 eV/f.u.
* volume: 14.375 Å³/atom
* raw total energy: -7.178 eV per atom

=====

No. 7
An optimized crystal structure of LaAs2Rh, computed with GGA-PBE.

```
LaAs2Rh
1.0
-2.041 -2.690 -0.682
2.058 -2.150 2.322
-3.823 1.653 4.920
As Rh La
2 1 1
direct
0.500 0.500 0.225
0.000 0.000 0.963
0.500 0.500 0.837
0.000 0.000 0.475
```

Properties
* ΔH_f (0 K): -194 kJ/mol of formula units
* volume: 20.955 Å³/atom
* raw total energy: -5.896 eV per atom

=====

No. 8
An optimized crystal structure of CaMn2I, computed with GGA-PBE.

```
CaMn2I
1.0
-2.364 -3.245 -2.100
-4.523 -0.046 0.274
-2.501 1.014 -3.640
Mn I Ca
2 1 1
direct
0.250 0.250 0.250
0.750 0.750 0.750
0.500 0.500 0.500
0.000 0.000 0.000
```

Properties
* formation energy (no corrections): 4.4 eV/f.u.
* volume: 16.450 Å³/atom
* raw total energy: -4.379 eV per atom

=====

No. 9
An optimized crystal structure of Ga3CuIr4, computed with GGA-PBE.

```
Ga3CuIr4
1.0
-0.218 0.253 -4.282
1.533 -4.000 -0.321
-6.317 -0.308 2.463
Ga Ir Cu
3 4 1
direct
0.746 0.246 0.491
0.254 0.754 0.509
0.000 0.500 0.000
0.625 0.625 0.251
0.125 0.125 0.251
0.375 0.375 0.749
0.875 0.875 0.749
0.500 0.000 0.000
```

Properties
* ΔH_f (0 K): -232 kJ/mol of formula units
* volume: 13.993 Å³/atom
* raw total energy: -6.378 eV per atom

=====

No. 10
An optimized crystal structure of Y4As, computed with GGA-PBE.

```
Y4As
1.0
-5.574 7.198 3.468
-5.600 7.651 -2.241
3.296 -9.138 -0.739
Y As
4 1
direct
0.750 0.250 0.500
0.585 0.585 0.000
0.415 0.415 0.000
0.250 0.750 0.500
0.000 0.000 0.000
```

Properties
* ΔH_f (0 K): 75 kJ/mol of formula units
* volume: 30.542 Å³/atom
* raw total energy: -5.946 eV per atom

=====

No. 11
An optimized crystal structure of Be2Co2Pb, computed with GGA-PBE.

```
Be2Co2Pb
1.0
6.410 0.000 0.000
0.000 6.410 0.000
0.000 0.000 2.944
Pb Be Co
2 4 4
direct
0.000 0.000 0.000
0.500 0.500 0.000
0.384 0.884 0.000
0.116 0.384 0.000
0.884 0.616 0.000
0.616 0.116 0.000
0.844 0.344 0.500
0.344 0.156 0.500
0.656 0.844 0.500
0.156 0.656 0.500
```

Properties
* ΔH_f (0 K): 112 kJ/mol of formula units
* volume: 12.098 Å³/atom
* raw total energy: -4.842 eV per atom

=====

No. 12
An optimized crystal structure of LaZnIr3, computed with GGA-PBE.

```
LaZnIr3
1.0
-4.537 0.851 0.452
-0.881 -4.545 -0.283
0.391 -0.363 4.607
La Ir Zn
1 3 1
direct
0.500 0.500 0.500
0.000 0.500 0.000
0.500 0.000 0.000
0.000 0.000 0.500
0.000 0.000 0.000
```

Properties
* ΔH_f (0 K): 183 kJ/mol of formula units
* volume: 19.955 Å³/atom
* raw total energy: -6.178 eV per atom

=====

No. 13
An optimized crystal structure of KMnGa3, computed with GGA-PBE.

```
KMnGa3
1.0
5.311 0.000 0.000
0.000 5.311 0.000
0.000 0.000 5.311
Mn Ga K
1 3 1
direct
0.500 0.500 0.500
0.000 0.500 0.000
0.500 0.000 0.000
0.000 0.000 0.500
0.000 0.000 0.000
```

Properties
* ΔH_f (0 K): 938 kJ/mol of formula units
* volume: 29.959 Å³/atom
* raw total energy: -1.925 eV per atom

=====

No. 14
An optimized crystal structure of LiYGeH2, computed with GGA-PBE.

```
LiYGeH2
1.0
-2.620 -2.924 -0.108
4.311 -3.762 -2.685
1.178 -1.187 3.554
Li H Y Ge
1 2 1 1
direct
0.000 0.500 0.000
0.500 0.000 0.000
0.000 0.000 0.500
0.000 0.000 0.000
0.500 0.500 0.500
```

Properties
* volume: 19.500 Å³/atom
* raw total energy: -3.800 eV per atom

=====

No. 15
An optimized crystal structure of Pm2Nd7, computed with GGA-PBE.

```
Pm2Nd7
1.0
-3.747 4.386 2.713
-0.985 -1.727 -6.056
-5.578 -6.467 2.751
Pm Nd
2 7
direct
0.667 0.333 0.000
0.333 0.667 0.000
0.000 0.333 0.667
0.667 0.000 0.333
0.333 0.000 0.667
0.667 0.667 0.667
0.000 0.000 0.000
0.333 0.333 0.333
0.000 0.667 0.333
```

Properties
* ΔH_f (0 K): 10 kJ/mol of formula units
* volume: 35.078 Å³/atom
* raw total energy: -4.753 eV per atom

=====

No. 16
An optimized crystal structure of MgTaSi2Pd, computed with GGA-PBE.

```
MgTaSi2Pd
1.0
-0.448 -2.893 -3.529
1.676 -3.613 2.749
-4.278 -0.968 1.336
Pd Si Ta Mg
1 2 1 1
direct
0.500 0.500 0.500
0.000 0.000 0.500
0.500 0.000 0.000
0.000 0.500 0.000
0.000 0.000 0.000
```

Properties
* formation energy (no corrections): 7.8 eV/f.u.
* volume: 20.351 Å³/atom
* raw total energy: -4.341 eV per atom